Record 1
VASP calculation (GGA-PBE) on an optimized crystal structure of NbAlBr2.

```
data_NbAlBr2
_chemical_formula_sum 'Nb1 Al1 Br2'
_cell_length_a 10.112
_cell_length_b 10.112
_cell_length_c 10.112
_cell_angle_alpha 18.83
_cell_angle_beta 18.83
_cell_angle_gamma 18.83
_symmetry_space_group_name_H-M 'P 1'
_symmetry_Int_Tables_number 1
_symmetry_space_group_name_Hall 'P 1'
loop_
_atom_site_label
_atom_site_fract_x
_atom_site_fract_y
_atom_site_fract_z
Nb1 0.000 0.000 0.000
Al1 0.500 0.500 0.500
Br1 0.397 0.397 0.397
Br2 0.603 0.603 0.603
```

Values from the calculation:
**DOS(E_F)**: 0.416 states/eV per atom
**Formation energy without anion corrections**: -2.98 kcal/mol of atoms
**Calculated volume**: 23.522 Å³ per atom

=====

Record 2
VASP calculation (GGA-PBE) on an optimized crystal structure of NbAl2Br.

```
data_NbAl2Br
_chemical_formula_sum 'Nb1 Al2 Br1'
_cell_length_a 4.790
_cell_length_b 4.790
_cell_length_c 4.790
_cell_angle_alpha 60.00
_cell_angle_beta 60.00
_cell_angle_gamma 60.00
_symmetry_space_group_name_H-M 'P 1'
_symmetry_Int_Tables_number 1
_symmetry_space_group_name_Hall 'P 1'
loop_
_atom_site_label
_atom_site_fract_x
_atom_site_fract_y
_atom_site_fract_z
Nb1 0.000 0.000 0.000
Al1 0.250 0.250 0.250
Al2 0.750 0.750 0.750
Br1 0.500 0.500 0.500
```

Values from the calculation:
**DOS(E_F)**: 0.291 states/eV per atom
**Formation energy without anion corrections**: 15.55 kcal/mol of atoms
**Calculated volume**: 19.433 Å³ per atom

=====

Record 3
VASP calculation (GGA-PBE) on an optimized crystal structure of NbAlBr3.

```
data_NbAlBr3
_chemical_formula_sum 'Nb1 Al1 Br3'
_cell_length_a 5.392
_cell_length_b 5.392
_cell_length_c 5.392
_cell_angle_alpha 90.00
_cell_angle_beta 90.00
_cell_angle_gamma 90.00
_symmetry_space_group_name_H-M 'P 1'
_symmetry_Int_Tables_number 1
_symmetry_space_group_name_Hall 'P 1'
loop_
_atom_site_label
_atom_site_fract_x
_atom_site_fract_y
_atom_site_fract_z
Nb1 0.000 0.000 0.000
Al1 0.500 0.500 0.500
Br1 0.000 0.000 0.500
Br2 0.000 0.500 0.000
Br3 0.500 0.000 0.000
```

Values from the calculation:
**DOS(E_F)**: 0.428 states/eV per atom
**Formation energy without anion corrections**: -2.35 kcal/mol of atoms
**Calculated volume**: 31.359 Å³ per atom

=====

Record 4
VASP calculation (GGA-PBE) on an optimized crystal structure of NbAlBr2.

```
data_NbAlBr2
_chemical_formula_sum 'Nb1 Al1 Br2'
_cell_length_a 4.820
_cell_length_b 4.820
_cell_length_c 4.820
_cell_angle_alpha 60.00
_cell_angle_beta 60.00
_cell_angle_gamma 60.00
_symmetry_space_group_name_H-M 'P 1'
_symmetry_Int_Tables_number 1
_symmetry_space_group_name_Hall 'P 1'
loop_
_atom_site_label
_atom_site_fract_x
_atom_site_fract_y
_atom_site_fract_z
Nb1 0.000 0.000 0.000
Al1 0.500 0.500 0.500
Br1 0.250 0.250 0.250
Br2 0.750 0.750 0.750
```

Values from the calculation:
**DOS(E_F)**: 0.530 states/eV per atom
**Formation energy without anion corrections**: 8.99 kcal/mol of atoms
**Calculated volume**: 19.789 Å³ per atom

=====

Record 5
VASP calculation (GGA-PBE) on an optimized crystal structure of NbAl2Br.

```
data_NbAl2Br
_chemical_formula_sum 'Nb2 Al4 Br2'
_cell_length_a 6.036
_cell_length_b 6.036
_cell_length_c 6.036
_cell_angle_alpha 102.58
_cell_angle_beta 102.58
_cell_angle_gamma 124.37
_symmetry_space_group_name_H-M 'P 1'
_symmetry_Int_Tables_number 1
_symmetry_space_group_name_Hall 'P 1'
loop_
_atom_site_label
_atom_site_fract_x
_atom_site_fract_y
_atom_site_fract_z
Nb1 0.000 0.000 0.000
Nb2 0.750 0.250 0.500
Al1 0.118 0.625 0.993
Al2 0.375 0.368 0.493
Al3 0.632 0.125 0.007
Al4 0.875 0.882 0.507
Br1 0.250 0.750 0.500
Br2 0.500 0.500 0.000
```

Values from the calculation:
**DOS(E_F)**: 0.703 states/eV per atom
**Formation energy without anion corrections**: 12.21 kcal/mol of atoms
**Calculated volume**: 20.069 Å³ per atom

=====

Record 6
VASP calculation (GGA-PBE) on an optimized crystal structure of NbAlBr2.

```
data_NbAlBr2
_chemical_formula_sum 'Nb2 Al2 Br4'
_cell_length_a 7.114
_cell_length_b 7.114
_cell_length_c 7.114
_cell_angle_alpha 98.46
_cell_angle_beta 98.46
_cell_angle_gamma 134.89
_symmetry_space_group_name_H-M 'P 1'
_symmetry_Int_Tables_number 1
_symmetry_space_group_name_Hall 'P 1'
loop_
_atom_site_label
_atom_site_fract_x
_atom_site_fract_y
_atom_site_fract_z
Nb1 0.000 0.000 0.000
Nb2 0.750 0.250 0.500
Al1 0.250 0.750 0.500
Al2 0.500 0.500 0.000
Br1 0.375 0.015 0.140
Br2 0.765 0.625 0.640
Br3 0.875 0.235 0.860
Br4 0.985 0.125 0.360
```

Values from the calculation:
**DOS(E_F)**: 0.754 states/eV per atom
**Formation energy without anion corrections**: 2.60 kcal/mol of atoms
**Calculated volume**: 29.442 Å³ per atom

=====

Record 7
VASP calculation (GGA-PBE) on an optimized crystal structure of NbAlBr3.

```
data_NbAlBr3
_chemical_formula_sum 'Nb1 Al1 Br3'
_cell_length_a 5.184
_cell_length_b 5.184
_cell_length_c 5.184
_cell_angle_alpha 90.00
_cell_angle_beta 90.00
_cell_angle_gamma 90.00
_symmetry_space_group_name_H-M 'P 1'
_symmetry_Int_Tables_number 1
_symmetry_space_group_name_Hall 'P 1'
loop_
_atom_site_label
_atom_site_fract_x
_atom_site_fract_y
_atom_site_fract_z
Nb1 0.000 0.000 0.000
Al1 0.500 0.500 0.500
Br1 0.000 0.500 0.500
Br2 0.500 0.000 0.500
Br3 0.500 0.500 0.000
```

Values from the calculation:
**DOS(E_F)**: 1.354 states/eV per atom
**Formation energy without anion corrections**: 8.77 kcal/mol of atoms
**Calculated volume**: 27.863 Å³ per atom

=====

Record 8
VASP calculation (GGA-PBE) on an optimized crystal structure of NbAlBr8.

```
data_NbAlBr8
_chemical_formula_sum 'Nb2 Al2 Br16'
_cell_length_a 10.478
_cell_length_b 10.478
_cell_length_c 9.231
_cell_angle_alpha 90.00
_cell_angle_beta 90.00
_cell_angle_gamma 128.02
_symmetry_space_group_name_H-M 'P 1'
_symmetry_Int_Tables_number 1
_symmetry_space_group_name_Hall 'P 1'
loop_
_atom_site_label
_atom_site_fract_x
_atom_site_fract_y
_atom_site_fract_z
Nb1 0.113 0.887 0.750
Nb2 0.887 0.113 0.250
Al1 0.314 0.686 0.750
Al2 0.686 0.314 0.250
Br1 0.034 0.572 0.750
Br2 0.134 0.866 0.016
Br3 0.134 0.866 0.484
Br4 0.173 0.240 0.250
Br5 0.240 0.173 0.750
Br6 0.380 0.620 0.542
Br7 0.380 0.620 0.958
Br8 0.428 0.966 0.750
Br9 0.572 0.034 0.250
Br10 0.620 0.380 0.042
Br11 0.620 0.380 0.458
Br12 0.760 0.827 0.250
Br13 0.827 0.760 0.750
Br14 0.866 0.134 0.516
Br15 0.866 0.134 0.984
Br16 0.966 0.428 0.250
```

Values from the calculation:
**DOS(E_F)**: 0.000 states/eV per atom
**Formation energy without anion corrections**: -22.01 kcal/mol of atoms
**Calculated volume**: 39.921 Å³ per atom

=====

Record 9
VASP calculation (GGA-PBE) on an optimized crystal structure of NbAlNiBr2.

```
data_NbAlNiBr2
_chemical_formula_sum 'Nb1 Al1 Ni1 Br2'
_cell_length_a 4.714
_cell_length_b 4.714
_cell_length_c 5.006
_cell_angle_alpha 90.00
_cell_angle_beta 90.00
_cell_angle_gamma 90.00
_symmetry_space_group_name_H-M 'P 1'
_symmetry_Int_Tables_number 1
_symmetry_space_group_name_Hall 'P 1'
loop_
_atom_site_label
_atom_site_fract_x
_atom_site_fract_y
_atom_site_fract_z
Nb1 0.000 0.000 0.000
Al1 0.500 0.500 0.000
Ni1 0.000 0.000 0.500
Br1 0.000 0.500 0.500
Br2 0.500 0.000 0.500
```

Values from the calculation:
**DOS(E_F)**: 0.557 states/eV per atom
**Formation energy without anion corrections**: 16.35 kcal/mol of atoms
**Calculated volume**: 22.251 Å³ per atom

=====

Record 10
VASP calculation (GGA-PBE) on an optimized crystal structure of NbAl2PBr.

```
data_NbAl2PBr
_chemical_formula_sum 'Nb1 Al2 P1 Br1'
_cell_length_a 4.823
_cell_length_b 4.823
_cell_length_c 4.788
_cell_angle_alpha 90.00
_cell_angle_beta 90.00
_cell_angle_gamma 90.00
_symmetry_space_group_name_H-M 'P 1'
_symmetry_Int_Tables_number 1
_symmetry_space_group_name_Hall 'P 1'
loop_
_atom_site_label
_atom_site_fract_x
_atom_site_fract_y
_atom_site_fract_z
Nb1 0.000 0.000 0.000
Al1 0.000 0.500 0.500
Al2 0.500 0.000 0.500
P1 0.000 0.000 0.500
Br1 0.500 0.500 0.000
```

Values from the calculation:
**DOS(E_F)**: 0.758 states/eV per atom
**Formation energy without anion corrections**: 11.82 kcal/mol of atoms
**Calculated volume**: 22.275 Å³ per atom

=====

Record 11
VASP calculation (GGA-PBE) on an optimized crystal structure of Nb2AlSBr.

```
data_Nb2AlSBr
_chemical_formula_sum 'Nb2 Al1 S1 Br1'
_cell_length_a 4.694
_cell_length_b 4.694
_cell_length_c 4.640
_cell_angle_alpha 90.00
_cell_angle_beta 90.00
_cell_angle_gamma 90.00
_symmetry_space_group_name_H-M 'P 1'
_symmetry_Int_Tables_number 1
_symmetry_space_group_name_Hall 'P 1'
loop_
_atom_site_label
_atom_site_fract_x
_atom_site_fract_y
_atom_site_fract_z
Nb1 0.000 0.500 0.000
Nb2 0.500 0.000 0.000
Al1 0.000 0.000 0.500
S1 0.000 0.000 0.000
Br1 0.500 0.500 0.500
```

Values from the calculation:
**DOS(E_F)**: 1.147 states/eV per atom
**Formation energy without anion corrections**: 12.51 kcal/mol of atoms
**Calculated volume**: 20.446 Å³ per atom

=====

Record 12
VASP calculation (GGA-PBE) on an optimized crystal structure of NbAlSe2Br.

```
data_NbAlSe2Br
_chemical_formula_sum 'Nb1 Al1 Se2 Br1'
_cell_length_a 5.078
_cell_length_b 5.078
_cell_length_c 5.257
_cell_angle_alpha 90.00
_cell_angle_beta 90.00
_cell_angle_gamma 90.00
_symmetry_space_group_name_H-M 'P 1'
_symmetry_Int_Tables_number 1
_symmetry_space_group_name_Hall 'P 1'
loop_
_atom_site_label
_atom_site_fract_x
_atom_site_fract_y
_atom_site_fract_z
Nb1 0.000 0.000 0.000
Al1 0.500 0.500 0.500
Se1 0.000 0.500 0.000
Se2 0.500 0.000 0.000
Br1 0.000 0.000 0.500
```

Values from the calculation:
**DOS(E_F)**: 0.574 states/eV per atom
**Formation energy without anion corrections**: -3.84 kcal/mol of atoms
**Calculated volume**: 27.109 Å³ per atom

=====

no.,E (eV per atom)
1,-4.419
2,-4.132
3,-3.868
4,-3.900
5,-4.278
6,-4.177
7,-3.386
8,-3.674
9,-3.879
10,-4.415
11,-5.394
12,-4.658